DFT (PBE-GGA) results for a relaxed structure of Sc2PCl.

abc: 4.783 4.783 4.783
angles: 60.00 60.00 60.00
Element x y z (fractional)
Sc: 0.000 0.000 0.000
Sc: 0.250 0.250 0.250
P: 0.750 0.750 0.750
Cl: 0.500 0.500 0.500

Output
As for the space-group type: F-43m. The value obtained for the total magnetization is 1.946 μB per cell. For the uncorrected formation energy, the calculation gives -14.1 kJ per mole of atoms.

=====

DFT (PBE-GGA) results for a relaxed structure of AcPd3S.

abc: 6.034 6.034 5.969
angles: 90.00 90.00 113.52
Element x y z (fractional)
Ac: 0.235 0.765 0.750
Ac: 0.765 0.235 0.250
Pd: 0.290 0.290 0.000
Pd: 0.290 0.290 0.500
Pd: 0.317 0.683 0.250
Pd: 0.683 0.317 0.750
Pd: 0.710 0.710 0.000
Pd: 0.710 0.710 0.500
S: 0.086 0.914 0.250
S: 0.914 0.086 0.750

Output
As for the space-group type: Cmcm. The value obtained for the total magnetization is 0.000 μB per cell. For the uncorrected formation energy, the calculation gives -75.4 kJ per mole of atoms. The calculation puts the distance to the lowest polymorph of the same formula at 0.000 eV per atom.

=====

Number 1: raw total energy -5.126 eV/atom. Number 2: raw total energy -5.545 eV/atom.